The following is a PBE calculation of crystalline Pm4Zn5Ni2 at its relaxed geometry, from Alexandria.

## Properties
The energy of formation is -3.4 eV/f.u.

a = 3.784 Å, b = 7.043 Å, c = 8.972 Å
α = 94.48°, β = 90.00°, γ = 90.00°
Fractional positions:
Zn1 0.000 0.561 0.301
Pm1 0.500 0.246 0.440
Ni1 0.000 0.936 0.365
Zn2 0.000 0.500 0.000
Pm2 0.500 0.829 0.139
Ni2 0.000 0.064 0.635
Zn3 0.000 0.195 0.158
Pm3 0.500 0.754 0.560
Zn4 0.000 0.439 0.699
Zn5 0.000 0.805 0.842
Pm4 0.500 0.171 0.861